1.
Below is a relaxed K2PmSO8 crystal, with properties calculated at the PBE level.

Properties
Crystal system: trigonal
DOS(E_F) (states/eV/cell): 6.95
Final energy (eV/atom): -5.17
Energy relative to the elements, uncorrected (eV/f.u.): -11.32

a b c (Å): 5.8318 5.8318 6.1558
angles (deg): 90.00 90.00 120.00
Space group P-3m1 (No. 164)
One atom of each set of equivalent atoms:
1 K 0.3333 0.6667 0.3865 (multiplicity 2)
2 Pm 0.0000 0.0000 0.0000 (multiplicity 1)
3 S 0.0000 0.0000 0.5000 (multiplicity 1)
4 O 0.1312 0.2624 0.6605 (multiplicity 6)
5 O 0.3333 0.6667 0.9855 (multiplicity 2)



2.
Below is a relaxed BaAl3Br crystal, with properties calculated at the PBE level.

Properties
Crystal system: cubic
DOS(E_F) (states/eV/cell): 3.68
Final energy (eV/atom): -2.62
Energy relative to the elements, uncorrected (eV/f.u.): 1.70

a b c (Å): 5.486 5.486 5.486
angles (deg): 90.00 90.00 90.00
Space group Pm-3m (No. 221)
One atom of each set of equivalent atoms:
1 Ba 0.000 0.000 0.000 (multiplicity 1)
2 Al 0.000 0.500 0.500 (multiplicity 3)
3 Br 0.500 0.500 0.500 (multiplicity 1)



3.
Below is a relaxed Ba2MgPd crystal, with properties calculated at the PBE level.

Properties
Crystal system: tetragonal
DOS(E_F) (states/eV/cell): 5.60
Final energy (eV/atom): -2.90
Energy relative to the elements (meV/atom): -245

a b c (Å): 11.838 11.838 5.191
angles (deg): 90.00 90.00 90.00
Space group I-42d (No. 122)
One atom of each set of equivalent atoms:
1 Ba 0.080 0.750 0.125 (multiplicity 8)
2 Mg 0.000 0.000 0.500 (multiplicity 4)
3 Pd 0.000 0.000 0.000 (multiplicity 4)



4.
Below is a relaxed KMgFe2 crystal, with properties calculated at the PBE level.

Properties
Crystal system: cubic
DOS(E_F) (states/eV/cell): 16.84
Final energy (eV/atom): -3.84
Energy relative to the elements (meV/atom): 1063

a b c (Å): 6.781 6.781 6.781
angles (deg): 90.00 90.00 90.00
Space group F-43m (No. 216)
One atom of each set of equivalent atoms:
1 K 0.000 0.000 0.000 (multiplicity 4)
2 Mg 0.250 0.250 0.750 (multiplicity 4)
3 Fe 0.000 0.000 0.500 (multiplicity 4)
4 Fe 0.250 0.250 0.250 (multiplicity 4)



5.
Below is a relaxed KRb2SrI4 crystal, with properties calculated at the PBE level.

Properties
Crystal system: monoclinic
DOS(E_F) (states/eV/cell): 2.98
Final energy (eV/atom): -2.71
Energy relative to the elements, uncorrected (eV/f.u.): -10.80

a b c (Å): 9.037 5.007 9.518
angles (deg): 90.00 106.79 90.00
Space group P2/m (No. 10)
One atom of each set of equivalent atoms:
1 K 0.000 0.000 0.000 (multiplicity 1)
2 Rb 0.000 0.500 0.500 (multiplicity 1)
3 Rb 0.500 0.000 0.500 (multiplicity 1)
4 Sr 0.500 0.500 0.000 (multiplicity 1)
5 I 0.265 0.500 0.215 (multiplicity 2)
6 I 0.289 0.000 0.799 (multiplicity 2)



6.
Below is a relaxed TcBr2 crystal, with properties calculated at the PBE level.

Properties
Crystal system: hexagonal
DOS(E_F) (states/eV/cell): 3.25
Final energy (eV/atom): -4.13
Energy relative to the elements, uncorrected (eV/f.u.): 1.33

a b c (Å): 7.4369 7.4369 5.7126
angles (deg): 90.00 90.00 120.00
Space group P-62m (No. 189)
One atom of each set of equivalent atoms:
1 Tc 0.0000 0.0000 0.0000 (multiplicity 1)
2 Tc 0.3333 0.6667 0.5000 (multiplicity 2)
3 Br 0.0000 0.2950 0.5000 (multiplicity 3)
4 Br 0.0000 0.6466 0.0000 (multiplicity 3)



7.
Below is a relaxed Cd3Ga2Hg crystal, with properties calculated at the PBE level.

Properties
Crystal system: monoclinic
DOS(E_F) (states/eV/cell): 6.46
Final energy (eV/atom): -1.46
Energy relative to the elements (meV/atom): 60

a b c (Å): 6.117 7.920 11.148
angles (deg): 90.00 91.95 90.00
Space group C2/c (No. 15)
One atom of each set of equivalent atoms:
1 Cd 0.000 0.058 0.250 (multiplicity 4)
2 Cd 0.248 0.065 0.000 (multiplicity 8)
3 Ga 0.122 0.253 0.623 (multiplicity 8)
4 Hg 0.000 0.429 0.250 (multiplicity 4)



8.
Below is a relaxed NaYGeS4 crystal, with properties calculated at the PBE level.

Properties
Crystal system: monoclinic
DOS(E_F) (states/eV/cell): 0.00
Final energy (eV/atom): -5.29
Energy relative to the elements, uncorrected (eV/f.u.): -8.11

a b c (Å): 6.503 6.701 7.993
angles (deg): 90.00 105.88 90.00
Space group P2_1/m (No. 11)
One atom of each set of equivalent atoms:
1 Na 0.242 0.250 0.061 (multiplicity 2)
2 Y 0.222 0.250 0.555 (multiplicity 2)
3 Ge 0.242 0.750 0.316 (multiplicity 2)
4 S 0.008 0.003 0.272 (multiplicity 4)
5 S 0.437 0.750 0.591 (multiplicity 2)
6 S 0.451 0.750 0.143 (multiplicity 2)



9.
Below is a relaxed AcGeHPt2 crystal, with properties calculated at the PBE level.

Properties
Crystal system: orthorhombic
DOS(E_F) (states/eV/cell): 6.96
Final energy (eV/atom): -5.64

a b c (Å): 4.222 11.423 7.310
angles (deg): 90.00 90.00 90.00
Space group Cmcm (No. 63)
One atom of each set of equivalent atoms:
1 Ac 0.000 0.060 0.250 (multiplicity 4)
2 Ge 0.000 0.223 0.750 (multiplicity 4)
3 H 0.000 0.500 0.000 (multiplicity 4)
4 Pt 0.000 0.340 0.052 (multiplicity 8)



10.
Below is a relaxed Cs2NaSO4 crystal, with properties calculated at the PBE level.

Properties
Crystal system: orthorhombic
DOS(E_F) (states/eV/cell): 14.84
Final energy (eV/atom): -4.83
Energy relative to the elements, uncorrected (eV/f.u.): -11.67

a b c (Å): 5.748 12.133 28.617
angles (deg): 90.00 90.00 90.00
Space group Fddd (No. 70, origin choice 2)
One atom of each set of equivalent atoms:
1 Cs 0.125 0.125 0.310 (multiplicity 16)
2 Na 0.125 0.125 0.125 (multiplicity 8)
3 S 0.125 0.125 0.625 (multiplicity 8)
4 O 0.028 0.303 0.845 (multiplicity 32)



Question: Which formula does entry 4 have?
Answer: KMgFe2



Question: What is the formula in the third record?
Answer: Ba2MgPd